No. 1
{"formula": "PmPrAu", "functional": "PBE-GGA", "state": "optimized geometry", "lattice": [[3.971, 0.000, 0.000], [0.000, 5.009, 0.000], [0.000, -2.504, 4.338]], "species": ["Pr", "Au", "Pm"], "fractional_positions": [[0.620, 0.667, 0.333], [0.317, 0.333, 0.667], [0.063, 0.000, 0.000]], "vol_a3_per_cell": 86.3, "density_g_cm3": 9.3, "crystal_system": "trigonal", "e_tot_ev_per_atom": -4.642}



No. 2
{"formula": "NaCuO2", "functional": "PBE-GGA", "state": "optimized geometry", "lattice": [[1.770, 0.000, 6.325], [-0.885, 1.533, 6.325], [-0.885, -1.533, 6.325]], "species": ["Na", "O", "O", "Cu"], "fractional_positions": [[0.500, 0.500, 0.500], [0.911, 0.911, 0.911], [0.089, 0.089, 0.089], [0.000, 0.000, 0.000]], "vol_a3_per_cell": 51.5, "density_g_cm3": 3.8, "crystal_system": "trigonal", "e_tot_ev_per_atom": -4.303}



No. 3
{"formula": "KNb2TlBi", "functional": "PBE-GGA", "state": "optimized geometry", "lattice": [[5.466, 0.000, 0.000], [0.000, 6.364, 0.000], [0.000, 0.000, 5.466]], "species": ["K", "Tl", "Bi", "Nb", "Nb"], "fractional_positions": [[0.000, 0.500, 0.000], [0.500, 0.500, 0.500], [0.000, 0.000, 0.000], [0.000, 0.000, 0.500], [0.500, 0.000, 0.000]], "vol_a3_per_cell": 190.1, "density_g_cm3": 5.6, "crystal_system": "tetragonal", "e_tot_ev_per_atom": -4.137}



Please write out number 3 again, unchanged.
{"formula": "KNb2TlBi", "functional": "PBE-GGA", "state": "optimized geometry", "lattice": [[5.466, 0.000, 0.000], [0.000, 6.364, 0.000], [0.000, 0.000, 5.466]], "species": ["K", "Tl", "Bi", "Nb", "Nb"], "fractional_positions": [[0.000, 0.500, 0.000], [0.500, 0.500, 0.500], [0.000, 0.000, 0.000], [0.000, 0.000, 0.500], [0.500, 0.000, 0.000]], "vol_a3_per_cell": 190.1, "density_g_cm3": 5.6, "crystal_system": "tetragonal", "e_tot_ev_per_atom": -4.137}